First-principles (PBE+U) data for an optimized crystal structure of RbAcFeO4, as listed in the Alexandria database.

Geometry as CIF:
```
data_RbAcFeO4
_cell_length_a 6.391
_cell_length_b 6.391
_cell_length_c 7.580
_cell_angle_alpha 90.00
_cell_angle_beta 90.00
_cell_angle_gamma 115.69
_space_group_name_H-M_alt 'P 1'
_space_group_IT_number 1
loop_
_space_group_symop_operation_xyz
'x,y,z'
loop_
_atom_site_label
_atom_site_type_symbol
_atom_site_fract_x
_atom_site_fract_y
_atom_site_fract_z
Fe1 Fe 0.865 0.135 0.750
O1 O 0.234 0.766 0.052
O2 O 0.821 0.787 0.250
O3 O 0.234 0.766 0.448
O4 O 0.179 0.213 0.750
Ac1 Ac 0.166 0.834 0.750
Rb1 Rb 0.500 0.500 0.500
Fe2 Fe 0.135 0.865 0.250
O5 O 0.213 0.179 0.250
Ac2 Ac 0.834 0.166 0.250
Rb2 Rb 0.500 0.500 0.000
O6 O 0.787 0.821 0.750
O7 O 0.766 0.234 0.948
O8 O 0.766 0.234 0.552
```

## Properties
DFT total energy = -6.215 eV/atom
DOS(E_F) = 0.64 states/eV/atom